Computed, not measured: Ti2BTe after structural relaxation at the PBE level of DFT.

Cell: 6.333 6.333 6.333 Å, 90.00 90.00 90.00°
Space group Fm-3m (No. 225)
Unique sites:
Ti  0.250  0.250  0.250 (multiplicity 8)
B  0.000  0.000  0.000 (multiplicity 4)
Te  0.000  0.000  0.500 (multiplicity 4)

The value obtained for the raw total energy is -6.12 eV per atom. For the density, the calculation gives 6.1 g cm⁻³. The polymorph energy (0 for the lowest one) is 241 meV per atom. The calculation puts the uncorrected formation energy at 0.28 eV per atom.

---

Computed, not measured: TiBTe3 after structural relaxation at the PBE level of DFT.

Cell: 4.814 4.814 4.814 Å, 90.00 90.00 90.00°
Space group Pm-3m (No. 221)
Unique sites:
Ti  0.000  0.000  0.000 (multiplicity 1)
B  0.500  0.500  0.500 (multiplicity 1)
Te  0.000  0.500  0.500 (multiplicity 3)

The value obtained for the raw total energy is -4.11 eV per atom. For the density, the calculation gives 6.6 g cm⁻³. The polymorph energy (0 for the lowest one) is 0 meV per atom. The calculation puts the uncorrected formation energy at 0.69 eV per atom.

---

Computed, not measured: Ti3BTe after structural relaxation at the PBE level of DFT.

Cell: 4.966 4.966 4.966 Å, 90.00 90.00 90.00°
Space group Pm-3m (No. 221)
Unique sites:
Ti  0.000  0.000  0.500 (multiplicity 3)
B  0.500  0.500  0.500 (multiplicity 1)
Te  0.000  0.000  0.000 (multiplicity 1)

The value obtained for the raw total energy is -5.11 eV per atom. For the density, the calculation gives 3.8 g cm⁻³. The polymorph energy (0 for the lowest one) is 2159 meV per atom. The calculation puts the uncorrected formation energy at 1.59 eV per atom.

---

Computed, not measured: TiB2Te after structural relaxation at the PBE level of DFT.

Cell: 5.381 5.381 9.491 Å, 90.00 90.00 90.00°
Space group I-42d (No. 122)
Unique sites:
Ti  0.000  0.000  0.000 (multiplicity 4)
B  0.247  0.250  0.125 (multiplicity 8)
Te  0.000  0.000  0.500 (multiplicity 4)

The value obtained for the raw total energy is -5.35 eV per atom. For the density, the calculation gives 4.8 g cm⁻³. The polymorph energy (0 for the lowest one) is 0 meV per atom. The calculation puts the uncorrected formation energy at 0.75 eV per atom.

---

Computed, not measured: Ti4BTe5 after structural relaxation at the PBE level of DFT.

Cell: 17.388 3.425 7.868 Å, 90.00 102.59 90.00°
Space group C2/m (No. 12)
Unique sites:
Ti  0.001  0.000  0.305 (multiplicity 4)
Ti  0.131  0.500  0.566 (multiplicity 4)
B  0.000  0.500  0.500 (multiplicity 2)
Te  0.000  0.500  0.000 (multiplicity 2)
Te  0.161  0.000  0.841 (multiplicity 4)
Te  0.166  0.000  0.323 (multiplicity 4)

The value obtained for the raw total energy is -6.02 eV per atom. For the density, the calculation gives 6.1 g cm⁻³. The calculation puts the uncorrected formation energy at -0.62 eV per atom.

---

Computed, not measured: Ti2BTe4 after structural relaxation at the PBE level of DFT.

Cell: 4.750 4.750 14.759 Å, 90.00 90.00 90.00°
Space group I4/mmm (No. 139)
Unique sites:
Ti  0.000  0.000  0.123 (multiplicity 4)
B  0.000  0.000  0.500 (multiplicity 2)
Te  0.000  0.000  0.313 (multiplicity 4)
Te  0.000  0.500  0.000 (multiplicity 4)

The value obtained for the raw total energy is -4.68 eV per atom. For the density, the calculation gives 6.2 g cm⁻³. The calculation puts the uncorrected formation energy at 0.32 eV per atom.